# Pm8Y2Er3

A relaxed structure of Pm8Y2Er3 (GGA-PBE, Alexandria via LeMat-Bulk).

abc: 9.5407 6.2453 9.5351
angles: 96.21 106.57 123.07
With the nearest neighbours (Å) after each atom.
Fractional coordinates of all 13 atoms:
1 Pm 0.1152 0.3103 0.7713  4 Er 3.58-3.60, 6 Pm 3.58-3.63, 2 Y 3.62-3.63
2 Pm 0.8848 0.6897 0.2287  4 Er 3.58-3.60, 6 Pm 3.58-3.63, 2 Y 3.62-3.63
3 Pm 0.1924 0.8477 0.6173  2 Er 3.59-3.60, 3 Y 3.60-3.62, 7 Pm 3.60-3.63
4 Pm 0.8076 0.1523 0.3827  2 Er 3.59-3.60, 3 Y 3.60-3.62, 7 Pm 3.60-3.63
5 Pm 0.3449 0.9206 0.3060  3 Er 3.59-3.60, 6 Pm 3.59-3.63, 3 Y 3.59-3.63
6 Pm 0.4209 0.4582 0.1520  4 Er 3.58-3.61, 6 Pm 3.58-3.63, 2 Y 3.60-3.63
7 Pm 0.5791 0.5418 0.8480  4 Er 3.58-3.61, 6 Pm 3.58-3.63, 2 Y 3.60-3.63
8 Pm 0.6551 0.0794 0.6940  3 Er 3.59-3.60, 6 Pm 3.59-3.63, 3 Y 3.59-3.63
9 Y 0.2687 0.3846 0.4603  10 Pm 3.59-3.63, 1 Er 3.60, 1 Y 3.61
10 Y 0.7313 0.6154 0.5397  10 Pm 3.59-3.63, 1 Er 3.60, 1 Y 3.61
11 Er 0.5000 0.0000 0.0000  10 Pm 3.60-3.61, 2 Er 3.60
12 Er 0.9607 0.2293 0.0761  8 Pm 3.58-3.60, 3 Er 3.60-3.61, 1 Y 3.60
13 Er 0.0393 0.7707 0.9239  8 Pm 3.58-3.60, 3 Er 3.60-3.61, 1 Y 3.60

Summary:
Its symmetry is No. 2. The calculated total energy is -4.9560 eV per atom. Its density of states at the Fermi level is 17.8 states/eV/f.u.

***

# PmY12Er2

A relaxed structure of PmY12Er2 (GGA-PBE, Alexandria via LeMat-Bulk).

abc: 6.4133 6.4133 25.1815
angles: 90.00 90.00 90.00
With the nearest neighbours (Å) after each atom.
Fractional coordinates of all 30 atoms:
1 Pm 0.5000 0.0000 0.0000  4 Y 3.37
2 Pm 0.0000 0.5000 0.0000  4 Y 3.37
3 Y 0.5000 0.5000 0.7835  5 Y 3.09-3.44
4 Y 0.0000 0.0000 0.7835  5 Y 3.09-3.44
5 Y 0.6826 0.8174 0.8833  7 Y 3.31-3.44, 1 Pm 3.37
6 Y 0.1826 0.6826 0.8833  7 Y 3.31-3.44, 1 Pm 3.37
7 Y 0.0000 0.0000 0.3392  5 Y 3.09-3.46
8 Y 0.3174 0.8174 0.1167  7 Y 3.31-3.44, 1 Pm 3.37
9 Y 0.8313 0.3313 0.5612  6 Y 3.06-3.42
10 Y 0.5000 0.5000 0.3392  5 Y 3.09-3.46
11 Y 0.3174 0.1826 0.8833  7 Y 3.31-3.44, 1 Pm 3.37
12 Y 0.8174 0.6826 0.1167  7 Y 3.31-3.44, 1 Pm 3.37
13 Y 0.3313 0.1687 0.5612  6 Y 3.06-3.42
14 Y 0.6687 0.1687 0.4388  6 Y 3.06-3.42
15 Y 0.0000 0.0000 0.6608  5 Y 3.09-3.46
16 Y 0.1687 0.3313 0.4388  6 Y 3.06-3.42
17 Y 0.1826 0.3174 0.1167  7 Y 3.31-3.44, 1 Pm 3.37
18 Y 0.8313 0.6687 0.4388  6 Y 3.06-3.42
19 Y 0.6687 0.8313 0.5612  6 Y 3.06-3.42
20 Y 0.0000 0.0000 0.2165  5 Y 3.09-3.44
21 Y 0.1687 0.6687 0.5612  6 Y 3.06-3.42
22 Y 0.5000 0.5000 0.6608  5 Y 3.09-3.46
23 Y 0.8174 0.3174 0.8833  7 Y 3.31-3.44, 1 Pm 3.37
24 Y 0.5000 0.5000 0.2165  5 Y 3.09-3.44
25 Y 0.3313 0.8313 0.4388  6 Y 3.06-3.42
26 Y 0.6826 0.1826 0.1167  7 Y 3.31-3.44, 1 Pm 3.37
27 Er 0.5000 0.0000 0.2755  8 Y 3.53-3.59
28 Er 0.0000 0.5000 0.2755  8 Y 3.53-3.59
29 Er 0.0000 0.5000 0.7245  8 Y 3.53-3.59
30 Er 0.5000 0.0000 0.7245  8 Y 3.53-3.59

Summary:
Its symmetry is No. 125. The calculated total energy is -5.7597 eV per atom. Its density of states at the Fermi level is 21.9 states/eV/f.u.

***

# Pm8Y3Er

A relaxed structure of Pm8Y3Er (GGA-PBE, Alexandria via LeMat-Bulk).

abc: 8.4752 8.4752 8.4752
angles: 94.20 117.61 117.61
With the nearest neighbours (Å) after each atom.
Fractional coordinates of all 12 atoms:
1 Pm 0.4938 0.2405 0.2405  1 Er 3.07, 1 Y 3.14, 2 Pm 3.26-3.30
2 Pm 0.5062 0.7466 0.7466  1 Er 3.07, 1 Y 3.14, 2 Pm 3.26-3.30
3 Pm 0.0000 0.7595 0.2534  1 Er 3.07, 1 Y 3.14, 2 Pm 3.26-3.30
4 Pm 0.0000 0.2534 0.7595  1 Er 3.07, 1 Y 3.14, 2 Pm 3.26-3.30
5 Pm 0.2492 0.3717 0.3717  3 Pm 3.09-3.30, 1 Er 3.24, 1 Y 3.30
6 Pm 0.7508 0.1225 0.1225  3 Pm 3.09-3.30, 1 Er 3.24, 1 Y 3.30
7 Pm 0.0000 0.6283 0.8775  3 Pm 3.09-3.30, 1 Er 3.24, 1 Y 3.30
8 Pm 0.0000 0.8775 0.6283  3 Pm 3.09-3.30, 1 Er 3.24, 1 Y 3.30
9 Y 0.5000 0.7500 0.2500  4 Pm 3.47
10 Y 0.5000 0.2500 0.7500  4 Pm 3.47
11 Y 0.0000 0.5000 0.5000  8 Pm 3.14-3.30
12 Er 0.0000 0.0000 0.0000  8 Pm 3.07-3.24

Summary:
Its symmetry is No. 121. The calculated total energy is -4.5640 eV per atom. Its density of states at the Fermi level is 20.0 states/eV/f.u.

***

# Pm3Y5Er2

A relaxed structure of Pm3Y5Er2 (GGA-PBE, Alexandria via LeMat-Bulk).

abc: 6.3971 10.9954 10.9954
angles: 102.65 73.09 73.09
With the nearest neighbours (Å) after each atom.
Fractional coordinates of all 20 atoms:
1 Pm 0.2500 0.0000 0.0000  2 Y 3.06, 2 Pm 3.20
2 Pm 0.7500 0.0000 0.0000  2 Y 3.06, 2 Pm 3.20
3 Pm 0.4165 0.4148 0.7521  3 Y 3.34-3.46, 1 Er 3.54
4 Pm 0.5835 0.5852 0.2479  3 Y 3.34-3.46, 1 Er 3.54
5 Pm 0.9165 0.7521 0.4148  3 Y 3.34-3.46, 1 Er 3.54
6 Pm 0.0835 0.2479 0.5852  3 Y 3.34-3.46, 1 Er 3.54
7 Y 0.2500 0.5000 0.5000  4 Y 3.02-3.20
8 Y 0.7500 0.5000 0.5000  4 Y 3.02-3.20
9 Y 0.5016 0.7484 0.7484  5 Y 3.02-3.36, 1 Pm 3.06
10 Y 0.9984 0.2516 0.2516  5 Y 3.02-3.36, 1 Pm 3.06
11 Y 0.4984 0.2516 0.2516  5 Y 3.02-3.36, 1 Pm 3.06
12 Y 0.0016 0.7484 0.7484  5 Y 3.02-3.36, 1 Pm 3.06
13 Y 0.2585 0.4136 0.0695  1 Pm 3.34, 2 Y 3.36, 3 Er 3.44-3.69
14 Y 0.7415 0.5864 0.9305  1 Pm 3.34, 2 Y 3.36, 3 Er 3.44-3.69
15 Y 0.7585 0.0695 0.4136  1 Pm 3.34, 2 Y 3.36, 3 Er 3.44-3.69
16 Y 0.2415 0.9305 0.5864  1 Pm 3.34, 2 Y 3.36, 3 Er 3.44-3.69
17 Er 0.0913 0.7427 0.0748  5 Y 3.44-3.81, 3 Pm 3.45-3.54
18 Er 0.9087 0.2573 0.9252  5 Y 3.44-3.81, 3 Pm 3.45-3.54
19 Er 0.5913 0.0748 0.7427  5 Y 3.44-3.81, 3 Pm 3.45-3.54
20 Er 0.4087 0.9252 0.2573  5 Y 3.44-3.81, 3 Pm 3.45-3.54

Summary:
Its symmetry is No. 72. The calculated total energy is -5.2627 eV per atom. Its density of states at the Fermi level is 14.5 states/eV/f.u.

***

# Pm5Y4Er

A relaxed structure of Pm5Y4Er (GGA-PBE, Alexandria via LeMat-Bulk).

abc: 6.0585 8.0838 8.0838
angles: 81.93 67.99 67.99
With the nearest neighbours (Å) after each atom.
Fractional coordinates of all 10 atoms:
1 Pm 0.7672 0.3760 0.9999  1 Er 3.25, 3 Pm 3.25-3.55, 2 Y 3.31
2 Pm 0.1433 0.9999 0.6240  1 Er 3.25, 3 Pm 3.25-3.55, 2 Y 3.31
3 Pm 0.7672 0.0001 0.3760  1 Er 3.25, 3 Pm 3.25-3.55, 2 Y 3.31
4 Pm 0.1432 0.6240 0.0001  1 Er 3.25, 3 Pm 3.25-3.55, 2 Y 3.31
5 Pm 0.6872 0.0000 0.0000  1 Er 2.83
6 Y 0.4452 0.3235 0.6766  2 Pm 3.31, 1 Er 3.69
7 Y 0.7688 0.6766 0.6765  2 Pm 3.31, 1 Er 3.69
8 Y 0.1218 0.3234 0.3235  2 Pm 3.31, 1 Er 3.69
9 Y 0.4454 0.6765 0.3234  2 Pm 3.31, 1 Er 3.69
10 Er 0.2209 0.0000 0.0000  1 Pm 2.83

Summary:
Its symmetry is No. 107. The calculated total energy is -5.1690 eV per atom. Its density of states at the Fermi level is 14.9 states/eV/f.u.

***

# Pm7Y2Er2

A relaxed structure of Pm7Y2Er2 (GGA-PBE, Alexandria via LeMat-Bulk).

abc: 5.6557 8.1672 9.4670
angles: 115.55 107.38 90.00
With the nearest neighbours (Å) after each atom.
Fractional coordinates of all 11 atoms:
1 Pm 0.1338 0.0520 0.2677  1 Er 3.24, 3 Pm 3.33-3.56, 3 Y 3.46-3.59
2 Pm 0.1321 0.4574 0.2641  3 Er 3.22-3.54, 1 Pm 3.33, 2 Y 3.47
3 Pm 0.5000 0.9188 0.0000  3 Er 3.41-3.73, 6 Pm 3.56-3.58, 2 Y 3.65
4 Pm 0.3364 0.4594 0.6729  3 Er 3.53-3.87, 2 Y 3.57, 7 Pm 3.58-3.76
5 Pm 0.6636 0.7866 0.3271  3 Er 3.53-3.87, 2 Y 3.57, 7 Pm 3.58-3.76
6 Pm 0.8662 0.7843 0.7323  1 Er 3.24, 3 Pm 3.33-3.56, 3 Y 3.46-3.59
7 Pm 0.8679 0.1933 0.7359  3 Er 3.22-3.54, 1 Pm 3.33, 2 Y 3.47
8 Y 0.2986 0.9205 0.5971  9 Pm 3.46-3.65, 1 Er 3.69
9 Y 0.7014 0.3234 0.4029  9 Pm 3.46-3.65, 1 Er 3.69
10 Er 0.0000 0.6217 0.0000  4 Pm 3.22-3.24
11 Er 0.5000 0.3364 0.0000  7 Pm 3.41-3.54, 2 Er 3.66, 2 Y 3.69

Summary:
Its symmetry is No. 44. The calculated total energy is -4.9160 eV per atom. Its density of states at the Fermi level is 16.3 states/eV/f.u.

***

# PmY2Er9

A relaxed structure of PmY2Er9 (GGA-PBE, Alexandria via LeMat-Bulk).

abc: 3.4880 11.1674 11.1674
angles: 120.00 90.00 90.00
With the nearest neighbours (Å) after each atom.
Fractional coordinates of all 12 atoms:
1 Pm 0.0000 0.0000 0.0000  2 Pm 3.49, 12 Er 3.85
2 Y 0.0000 0.3333 0.6667  9 Er 3.22-3.48, 2 Y 3.49
3 Y 0.0000 0.6667 0.3333  9 Er 3.22-3.48, 2 Y 3.49
4 Er 0.0000 0.0000 0.5000  2 Y 3.22, 10 Er 3.49-3.58
5 Er 0.0000 0.5000 0.5000  2 Y 3.22, 10 Er 3.49-3.58
6 Er 0.0000 0.5000 0.0000  2 Y 3.22, 10 Er 3.49-3.58
7 Er 0.5000 0.3547 0.1774  8 Er 3.43-3.58, 2 Y 3.48
8 Er 0.5000 0.1774 0.8226  8 Er 3.43-3.58, 2 Y 3.48
9 Er 0.5000 0.1774 0.3547  8 Er 3.43-3.58, 2 Y 3.48
10 Er 0.5000 0.8226 0.6453  8 Er 3.43-3.58, 2 Y 3.48
11 Er 0.5000 0.8226 0.1774  8 Er 3.43-3.58, 2 Y 3.48
12 Er 0.5000 0.6453 0.8226  8 Er 3.43-3.58, 2 Y 3.48

Summary:
Its symmetry is No. 191. The calculated total energy is -4.8439 eV per atom. Its density of states at the Fermi level is 17.6 states/eV/f.u.

***

# Pm8Y2Er3

A relaxed structure of Pm8Y2Er3 (GGA-PBE, Alexandria via LeMat-Bulk).

abc: 5.6956 7.6993 10.9067
angles: 110.67 90.03 90.00
With the nearest neighbours (Å) after each atom.
Fractional coordinates of all 13 atoms:
1 Pm 0.0009 0.6704 0.3408  2 Y 3.39, 4 Pm 3.52
2 Pm 0.9991 0.3296 0.6592  2 Y 3.39, 4 Pm 3.52
3 Pm 0.9995 0.1304 0.2607  2 Er 3.45, 2 Y 3.62, 4 Pm 3.67-3.68
4 Pm 0.0005 0.8696 0.7393  2 Er 3.45, 2 Y 3.62, 4 Pm 3.67-3.68
5 Pm 0.4998 0.6002 0.7895  1 Er 3.12, 1 Pm 3.16
6 Pm 0.4998 0.1893 0.7895  1 Er 3.12, 1 Pm 3.16
7 Pm 0.5002 0.8107 0.2105  1 Er 3.12, 1 Pm 3.16
8 Pm 0.5002 0.3998 0.2105  1 Er 3.12, 1 Pm 3.16
9 Y 0.4988 0.2399 0.4798  8 Pm 3.39-3.62
10 Y 0.5012 0.7601 0.5202  8 Pm 3.39-3.62
11 Er 0.5000 0.0000 0.0000  4 Pm 3.12
12 Er 0.0000 0.2855 0.0000  3 Er 3.30-3.60, 6 Pm 3.45-3.57
13 Er 0.0000 0.7145 0.0000  3 Er 3.30-3.60, 6 Pm 3.45-3.57

Summary:
Its symmetry is No. 12. The calculated total energy is -4.7655 eV per atom. Its density of states at the Fermi level is 19.0 states/eV/f.u.

***

# Pm2Y4Er5

A relaxed structure of Pm2Y4Er5 (GGA-PBE, Alexandria via LeMat-Bulk).

abc: 3.5027 9.0145 12.5772
angles: 111.00 98.00 90.00
With the nearest neighbours (Å) after each atom.
Fractional coordinates of all 11 atoms:
1 Pm 0.2669 0.2669 0.5338  1 Y 3.13, 2 Er 3.38, 2 Pm 3.50
2 Pm 0.7331 0.7331 0.4662  1 Y 3.13, 2 Er 3.38, 2 Pm 3.50
3 Y 0.0000 0.3086 0.0000  4 Er 3.29-3.46, 7 Y 3.36-3.50
4 Y 0.5984 0.5984 0.1968  1 Pm 3.13, 6 Y 3.36-3.50, 4 Er 3.42
5 Y 0.0000 0.6914 0.0000  4 Er 3.29-3.46, 7 Y 3.36-3.50
6 Y 0.4016 0.4016 0.8032  1 Pm 3.13, 6 Y 3.36-3.50, 4 Er 3.42
7 Er 0.8579 0.0516 0.7158  1 Pm 3.38, 3 Y 3.42-3.46, 3 Er 3.49-3.50
8 Er 0.8579 0.6642 0.7158  1 Pm 3.38, 3 Y 3.42-3.46, 3 Er 3.49-3.50
9 Er 0.1421 0.3358 0.2842  1 Pm 3.38, 3 Y 3.42-3.46, 3 Er 3.49-3.50
10 Er 0.1421 0.9484 0.2842  1 Pm 3.38, 3 Y 3.42-3.46, 3 Er 3.49-3.50
11 Er 0.5000 0.0000 0.0000  4 Y 3.29, 2 Er 3.50

Summary:
Its symmetry is No. 71. The calculated total energy is -5.0501 eV per atom. Its density of states at the Fermi level is 17.1 states/eV/f.u.